(1)
A relaxed DyErTm2Se4 crystal, computed with PBE.

It has space group P2/m (No. 10), with a = 7.0127 Å, b = 3.9796 Å, c = 7.0328 Å, α = 90.00°, β = 108.77° and γ = 90.00°. The distinct sites, in fractional coordinates, are Dy at (0.0000, 0.0000, 0.0000), Er at (0.0000, 0.5000, 0.5000), Tm at (0.5000, 0.0000, 0.5000), Tm at (0.5000, 0.5000, 0.0000), Se at (0.2533, 0.0000, 0.7495) and Se at (0.2546, 0.5000, 0.2532).

For the uncorrected formation energy, the calculation gives -1.687 eV/atom.


(2)
A relaxed HfScFe2 crystal, computed with PBE.

It has space group I-42d (No. 122), with a = 6.8863 Å, b = 6.8863 Å, c = 5.6518 Å, α = 90.00°, β = 90.00° and γ = 90.00°. The distinct sites, in fractional coordinates, are Hf at (0.0000, 0.0000, 0.0000), Sc at (0.0000, 0.0000, 0.5000) and Fe at (0.2485, 0.2500, 0.1250).

The calculated formation energy is 360 meV/atom.


(3)
A relaxed Ac2ErPdO5 crystal, computed with PBE.

It has space group P4/mbm (No. 127), with a = 6.9100 Å, b = 6.9100 Å, c = 5.9931 Å, α = 90.00°, β = 90.00° and γ = 90.00°. The distinct sites, in fractional coordinates, are Ac at (0.1627, 0.3373, 0.0000), Er at (0.0000, 0.0000, 0.5000), Pd at (0.0000, 0.5000, 0.5000), O at (0.0000, 0.0000, 0.0000) and O at (0.1701, 0.6701, 0.2743).

For the uncorrected formation energy, the calculation gives -2.267 eV/atom.


no.,raw total energy (Ry/atom)
1,-0.4184
2,-0.5838
3,-0.5158